Entry 1:
## KNbTeI2 (GGA-PBE)

Data for crystalline KNbTeI2 at its relaxed geometry.

Relative energy among the computed polymorphs = 0.000 eV/atom
ΔE_f (raw) = -0.480 eV per atom
Size of the total moment = 1.97 μB/f.u.

Cell: 5.9312 5.9312 5.4341 Å, 90.00 90.00 90.00°
Last column: magnetic moment on the atom in μB.
Element x y z (fractional)
I: 0.0000 0.5000 0.0000  0.02
I: 0.5000 0.0000 0.0000  0.02
Te: 0.0000 0.0000 0.5000  -0.09
K: 0.5000 0.5000 0.5000  0.00
Nb: 0.0000 0.0000 0.0000  1.67

Entry 2:
## CuIrW2 (GGA-PBE)

Data for crystalline CuIrW2 at its relaxed geometry.

Relative energy among the computed polymorphs = 0.226 eV/atom
Formation energy = 5.9 kcal/mol of atoms
Size of the total moment = 0.00 μB/f.u.

Cell: 5.3526 5.3526 5.3526 Å, 149.73 128.88 60.57°
Element x y z (fractional)
Ir: 0.2568 0.7568 0.5000
W: 0.7409 0.2409 0.5000
W: 0.0064 0.0064 0.0000
Cu: 0.4959 0.4959 0.0000

Entry 3:
## CeDy4Tm3 (GGA-PBE)

Data for crystalline CeDy4Tm3 at its relaxed geometry.

Relative energy among the computed polymorphs = 0.165 eV/atom
Formation energy = 4.6 kcal/mol of atoms
Size of the total moment = 0.99 μB/f.u.

Cell: 3.4053 6.6570 11.7387 Å, 106.44 98.34 90.00°
Last column: magnetic moment on the atom in μB.
Element x y z (fractional)
Dy: 0.7406 0.2386 0.4811  -0.03
Dy: 0.8757 0.6314 0.7514  0.02
Dy: 0.2594 0.7614 0.5189  -0.03
Dy: 0.1243 0.3686 0.2486  0.02
Ce: 0.5000 0.0000 0.0000  0.70
Tm: 0.0000 0.5000 0.0000  0.08
Tm: 0.1245 0.8826 0.2490  0.03
Tm: 0.8755 0.1174 0.7510  0.03

Entry 4:
## Ac2Sn2Au (GGA-PBE)

Data for crystalline Ac2Sn2Au at its relaxed geometry.

Formation energy = -17.1 kcal/mol of atoms
Size of the total moment = 0.00 μB/f.u.

Cell: 4.8114 6.5523 11.0920 Å, 85.48 77.47 68.46°
Element x y z (fractional)
Ac: 0.7047 0.2387 0.3519
Ac: 0.2953 0.7613 0.6481
Ac: 0.0914 0.7153 0.1020
Ac: 0.9086 0.2847 0.8980
Sn: 0.9552 0.6777 0.4120
Sn: 0.0448 0.3223 0.5880
Sn: 0.6340 0.8471 0.8849
Sn: 0.3660 0.1529 0.1151
Au: 0.5737 0.1652 0.6873
Au: 0.4263 0.8348 0.3127